Density functional theory data (GGA-PBE) for crystalline Sc2PdCl at its relaxed geometry.

Unit cell a=6.7382 b=6.7382 c=6.7382 alpha=90.00 beta=90.00 gamma=90.00
Positions (direct):
Sc: 0.2500 0.2500 0.2500
Sc: 0.2500 0.2500 0.7500
Sc: 0.2500 0.7500 0.2500
Sc: 0.2500 0.7500 0.7500
Sc: 0.7500 0.2500 0.2500
Sc: 0.7500 0.2500 0.7500
Sc: 0.7500 0.7500 0.2500
Sc: 0.7500 0.7500 0.7500
Pd: 0.0000 0.0000 0.0000
Pd: 0.0000 0.5000 0.5000
Pd: 0.5000 0.0000 0.5000
Pd: 0.5000 0.5000 0.0000
Cl: 0.0000 0.0000 0.5000
Cl: 0.0000 0.5000 0.0000
Cl: 0.5000 0.0000 0.0000
Cl: 0.5000 0.5000 0.5000

The value obtained for the energy above the most stable polymorph in this dataset is 0.321 eV/atom. Its formation energy from raw total energies is -61 kJ per mole of atoms.